Model P:
{"formula": "PmHg5Pb2", "functional": "PBE", "state": "optimized geometry", "lattice_angstrom": [[-2.411, 2.411, 9.207], [2.411, -2.411, 9.207], [2.411, 2.411, -9.207]], "species": ["Pm", "Hg", "Hg", "Hg", "Hg", "Hg", "Pb", "Pb"], "fractional_positions": [[0.000, 0.000, 0.000], [0.120, 0.620, 0.500], [0.380, 0.880, 0.500], [0.500, 0.500, 0.000], [0.620, 0.120, 0.500], [0.880, 0.380, 0.500], [0.242, 0.242, 0.000], [0.758, 0.758, 0.000]]}

***

Model Q:
{"formula": "PmHg5Pb2", "functional": "PBE", "state": "optimized geometry", "lattice_angstrom": [[-4.199, 4.199, 6.305], [4.199, -4.199, 6.305], [4.199, 4.199, -6.305]], "species": ["Pm", "Pm", "Hg", "Hg", "Hg", "Hg", "Hg", "Hg", "Hg", "Hg", "Hg", "Hg", "Pb", "Pb", "Pb", "Pb"], "fractional_positions": [[0.250, 0.250, 0.000], [0.750, 0.750, 0.000], [0.000, 0.000, 0.000], [0.024, 0.524, 0.201], [0.178, 0.976, 0.500], [0.322, 0.822, 0.799], [0.476, 0.678, 0.500], [0.500, 0.500, 0.000], [0.524, 0.322, 0.500], [0.678, 0.178, 0.201], [0.822, 0.024, 0.500], [0.976, 0.476, 0.799], [0.146, 0.354, 0.500], [0.354, 0.854, 0.208], [0.646, 0.146, 0.792], [0.854, 0.646, 0.500]]}

***

Which of them is most stable, and which least? Most stable: model P; least stable: model Q.

***

Model P:
{"formula": "PmHgPb3", "functional": "PBE", "state": "optimized geometry", "lattice_angstrom": [[4.670, -5.853, 0.000], [4.670, 5.853, 0.000], [0.000, 0.000, 6.391]], "species": ["Pm", "Pm", "Hg", "Hg", "Pb", "Pb", "Pb", "Pb", "Pb", "Pb"], "fractional_positions": [[0.242, 0.758, 0.750], [0.758, 0.242, 0.250], [0.483, 0.517, 0.250], [0.517, 0.483, 0.750], [0.000, 0.000, 0.000], [0.000, 0.000, 0.500], [0.058, 0.615, 0.250], [0.385, 0.942, 0.250], [0.615, 0.058, 0.750], [0.942, 0.385, 0.750]]}

***

Model Q:
{"formula": "PmHgPb3", "functional": "PBE", "state": "optimized geometry", "lattice_angstrom": [[-3.441, 4.797, 4.912], [3.441, -4.797, 4.912], [3.441, 4.797, -4.912]], "species": ["Pm", "Pm", "Hg", "Hg", "Pb", "Pb", "Pb", "Pb", "Pb", "Pb"], "fractional_positions": [[0.272, 0.022, 0.250], [0.728, 0.978, 0.750], [0.000, 0.000, 0.500], [0.000, 0.500, 0.000], [0.279, 0.529, 0.750], [0.308, 0.000, 0.808], [0.308, 0.500, 0.308], [0.692, 0.000, 0.192], [0.692, 0.500, 0.692], [0.721, 0.471, 0.250]]}

***

Which of them is most stable, and which least? Most stable: model Q; least stable: model P.

***

Model P:
{"formula": "Pm3HgPb2", "functional": "PBE", "state": "optimized geometry", "lattice_angstrom": [[8.469, -3.267, 0.000], [8.469, 3.267, 0.000], [-1.456, 0.000, 6.389]], "species": ["Pm", "Pm", "Pm", "Pm", "Pm", "Pm", "Hg", "Hg", "Pb", "Pb", "Pb", "Pb"], "fractional_positions": [[0.147, 0.853, 0.750], [0.223, 0.439, 0.400], [0.439, 0.223, 0.900], [0.561, 0.777, 0.100], [0.777, 0.561, 0.600], [0.853, 0.147, 0.250], [0.369, 0.631, 0.250], [0.631, 0.369, 0.750], [0.055, 0.265, 0.055], [0.265, 0.055, 0.555], [0.735, 0.945, 0.445], [0.945, 0.735, 0.945]]}

***

Model Q:
{"formula": "Pm3HgPb2", "functional": "PBE", "state": "optimized geometry", "lattice_angstrom": [[12.764, 0.000, 0.000], [0.000, 4.802, 0.000], [0.000, 0.000, 12.013]], "species": ["Pm", "Pm", "Pm", "Pm", "Pm", "Pm", "Pm", "Pm", "Pm", "Pm", "Pm", "Pm", "Hg", "Hg", "Hg", "Hg", "Pb", "Pb", "Pb", "Pb", "Pb", "Pb", "Pb", "Pb"], "fractional_positions": [[0.039, 0.250, 0.126], [0.136, 0.750, 0.570], [0.205, 0.250, 0.815], [0.295, 0.750, 0.315], [0.364, 0.250, 0.070], [0.461, 0.750, 0.626], [0.539, 0.250, 0.374], [0.636, 0.750, 0.930], [0.705, 0.250, 0.685], [0.795, 0.750, 0.185], [0.864, 0.250, 0.430], [0.961, 0.750, 0.874], [0.152, 0.250, 0.350], [0.348, 0.750, 0.850], [0.652, 0.250, 0.150], [0.848, 0.750, 0.650], [0.006, 0.750, 0.327], [0.182, 0.750, 0.031], [0.318, 0.250, 0.531], [0.494, 0.250, 0.827], [0.506, 0.750, 0.173], [0.682, 0.750, 0.469], [0.818, 0.250, 0.969], [0.994, 0.250, 0.673]]}

***

Which of them is most stable, and which least? Most stable: model Q; least stable: model P.

***

Model P:
{"formula": "Pm6Hg5Pb", "functional": "PBE", "state": "optimized geometry", "lattice_angstrom": [[2.702, -8.138, 0.000], [2.702, 8.138, 0.000], [0.000, 0.000, 7.680]], "species": ["Pm", "Pm", "Pm", "Pm", "Pm", "Pm", "Hg", "Hg", "Hg", "Hg", "Hg", "Pb"], "fractional_positions": [[0.000, 0.000, 0.248], [0.000, 0.000, 0.752], [0.332, 0.668, 0.246], [0.332, 0.668, 0.754], [0.668, 0.332, 0.246], [0.668, 0.332, 0.754], [0.166, 0.834, 0.000], [0.171, 0.829, 0.500], [0.500, 0.500, 0.000], [0.829, 0.171, 0.500], [0.834, 0.166, 0.000], [0.500, 0.500, 0.500]]}

***

Model Q:
{"formula": "Pm6Hg5Pb", "functional": "PBE", "state": "optimized geometry", "lattice_angstrom": [[3.473, -5.894, 0.000], [3.473, 5.894, 0.000], [-2.191, 0.000, 8.960]], "species": ["Pm", "Pm", "Pm", "Pm", "Pm", "Pm", "Hg", "Hg", "Hg", "Hg", "Hg", "Pb"], "fractional_positions": [[0.064, 0.409, 0.729], [0.213, 0.213, 0.222], [0.409, 0.064, 0.729], [0.591, 0.936, 0.271], [0.787, 0.787, 0.778], [0.936, 0.591, 0.271], [0.000, 0.000, 0.500], [0.199, 0.801, 0.000], [0.368, 0.632, 0.500], [0.632, 0.368, 0.500], [0.801, 0.199, 0.000], [0.500, 0.500, 0.000]]}

***

Which of them is most stable, and which least? Most stable: model P; least stable: model Q.

***

Model P:
{"formula": "Pm4HgPb3", "functional": "PBE", "state": "optimized geometry", "lattice_angstrom": [[4.532, 0.000, 0.000], [0.000, 4.583, 0.000], [0.000, 0.000, 11.883]], "species": ["Pm", "Pm", "Pm", "Pm", "Hg", "Pb", "Pb", "Pb"], "fractional_positions": [[0.000, 0.000, 0.000], [0.000, 0.500, 0.494], [0.500, 0.000, 0.728], [0.500, 0.500, 0.229], [0.000, 0.000, 0.270], [0.000, 0.500, 0.764], [0.500, 0.000, 0.450], [0.500, 0.500, 0.959]]}

***

Model Q:
{"formula": "Pm4HgPb3", "functional": "PBE", "state": "optimized geometry", "lattice_angstrom": [[0.000, 3.634, 8.858], [3.629, 0.000, 8.858], [3.629, 3.634, 0.000]], "species": ["Pm", "Pm", "Pm", "Pm", "Hg", "Pb", "Pb", "Pb"], "fractional_positions": [[0.122, 0.122, 0.378], [0.378, 0.378, 0.122], [0.622, 0.622, 0.878], [0.878, 0.878, 0.622], [0.000, 0.000, 0.000], [0.249, 0.249, 0.751], [0.500, 0.500, 0.500], [0.751, 0.751, 0.249]]}

***

Which of them is most stable, and which least? Most stable: model P; least stable: model Q.

***

Model P:
{"formula": "PmHg6Pb", "functional": "PBE", "state": "optimized geometry", "lattice_angstrom": [[4.183, 2.415, 3.909], [-4.183, 2.415, 3.909], [0.000, -4.830, 3.909]], "species": ["Pm", "Hg", "Hg", "Hg", "Hg", "Hg", "Hg", "Pb"], "fractional_positions": [[0.000, 0.000, 0.000], [0.155, 0.155, 0.521], [0.155, 0.521, 0.155], [0.479, 0.845, 0.845], [0.521, 0.155, 0.155], [0.845, 0.479, 0.845], [0.845, 0.845, 0.479], [0.500, 0.500, 0.500]]}

***

Model Q:
{"formula": "PmHg6Pb", "functional": "PBE", "state": "optimized geometry", "lattice_angstrom": [[4.822, 0.000, 0.000], [0.000, 4.822, 0.000], [0.000, 0.000, 8.989]], "species": ["Pm", "Hg", "Hg", "Hg", "Hg", "Hg", "Hg", "Pb"], "fractional_positions": [[0.000, 0.000, 0.000], [0.000, 0.500, 0.246], [0.000, 0.500, 0.754], [0.500, 0.000, 0.246], [0.500, 0.000, 0.754], [0.500, 0.500, 0.000], [0.500, 0.500, 0.500], [0.000, 0.000, 0.500]]}

***

Which of them is most stable, and which least? Most stable: model Q; least stable: model P.

***

Model P:
{"formula": "Pm2HgPb3", "functional": "PBE", "state": "optimized geometry", "lattice_angstrom": [[2.309, -7.841, 0.000], [2.309, 7.841, 0.000], [0.000, 0.000, 4.755]], "species": ["Pm", "Pm", "Hg", "Pb", "Pb", "Pb"], "fractional_positions": [[0.149, 0.851, 0.000], [0.851, 0.149, 0.000], [0.000, 0.000, 0.500], [0.325, 0.675, 0.500], [0.500, 0.500, 0.000], [0.675, 0.325, 0.500]]}

***

Model Q:
{"formula": "Pm2HgPb3", "functional": "PBE", "state": "optimized geometry", "lattice_angstrom": [[4.564, 0.000, 0.000], [0.000, 4.564, 0.000], [0.000, 0.000, 8.598]], "species": ["Pm", "Pm", "Hg", "Pb", "Pb", "Pb"], "fractional_positions": [[0.000, 0.500, 0.184], [0.500, 0.000, 0.816], [0.000, 0.000, 0.500], [0.000, 0.500, 0.809], [0.500, 0.000, 0.191], [0.500, 0.500, 0.500]]}

***

Which of them is most stable, and which least? Most stable: model P; least stable: model Q.

***

Model P:
{"formula": "SrPmHgPb", "functional": "PBE", "state": "optimized geometry", "lattice_angstrom": [[0.000, 3.961, 3.961], [3.961, 0.000, 3.961], [3.961, 3.961, 0.000]], "species": ["Sr", "Pm", "Hg", "Pb"], "fractional_positions": [[0.000, 0.000, 0.000], [0.500, 0.500, 0.500], [0.750, 0.750, 0.750], [0.250, 0.250, 0.250]]}

***

Model Q:
{"formula": "SrPmHgPb", "functional": "PBE", "state": "optimized geometry", "lattice_angstrom": [[3.934, 0.000, 0.000], [0.000, 3.934, 0.000], [0.000, 0.000, 8.034]], "species": ["Sr", "Pm", "Hg", "Pb"], "fractional_positions": [[0.000, 0.000, 0.000], [0.000, 0.000, 0.522], [0.500, 0.500, 0.741], [0.500, 0.500, 0.276]]}

***

Which of them is most stable, and which least? Most stable: model Q; least stable: model P.

***

Model P:
{"formula": "PmTlHgPb", "functional": "PBE", "state": "optimized geometry", "lattice_angstrom": [[0.000, 3.852, 3.852], [3.852, 0.000, 3.852], [3.852, 3.852, 0.000]], "species": ["Pm", "Tl", "Hg", "Pb"], "fractional_positions": [[0.000, 0.000, 0.000], [0.250, 0.250, 0.250], [0.750, 0.750, 0.750], [0.500, 0.500, 0.500]]}

***

Model Q:
{"formula": "PmTlHgPb", "functional": "PBE", "state": "optimized geometry", "lattice_angstrom": [[4.695, 0.000, 0.000], [0.000, 4.757, 0.000], [0.000, 0.000, 4.906]], "species": ["Pm", "Tl", "Hg", "Pb"], "fractional_positions": [[0.000, 0.000, 0.000], [0.500, 0.000, 0.500], [0.000, 0.500, 0.500], [0.500, 0.500, 0.000]]}

***

Which of them is most stable, and which least? Most stable: model Q; least stable: model P.

***

Model P:
{"formula": "PrHgPb3", "functional": "PBE", "state": "optimized geometry", "lattice_angstrom": [[3.731, 0.000, 0.000], [-0.588, 8.608, 0.000], [-0.080, -2.862, 9.451]], "species": ["Pr", "Pr", "Hg", "Hg", "Pb", "Pb", "Pb", "Pb", "Pb", "Pb"], "fractional_positions": [[0.001, 0.010, 0.250], [0.999, 0.990, 0.750], [0.194, 0.405, 0.355], [0.806, 0.595, 0.645], [0.244, 0.397, 0.842], [0.413, 0.801, 0.453], [0.439, 0.800, 0.949], [0.561, 0.200, 0.051], [0.587, 0.199, 0.547], [0.756, 0.603, 0.158]]}

***

Model Q:
{"formula": "PrHgPb3", "functional": "PBE", "state": "optimized geometry", "lattice_angstrom": [[4.714, -5.892, 0.000], [4.714, 5.892, 0.000], [0.000, 0.000, 6.399]], "species": ["Pr", "Pr", "Hg", "Hg", "Pb", "Pb", "Pb", "Pb", "Pb", "Pb"], "fractional_positions": [[0.246, 0.754, 0.750], [0.754, 0.246, 0.250], [0.477, 0.523, 0.250], [0.523, 0.477, 0.750], [0.000, 0.000, 0.000], [0.000, 0.000, 0.500], [0.054, 0.620, 0.250], [0.380, 0.946, 0.250], [0.620, 0.054, 0.750], [0.946, 0.380, 0.750]]}

***

Which of them is most stable, and which least? Most stable: model P; least stable: model Q.

***

Model P:
{"formula": "PrHg3Pb", "functional": "PBE", "state": "optimized geometry", "lattice_angstrom": [[2.988, -9.596, 0.000], [2.988, 9.596, 0.000], [0.000, 0.000, 5.538]], "species": ["Pr", "Pr", "Hg", "Hg", "Hg", "Hg", "Hg", "Hg", "Pb", "Pb"], "fractional_positions": [[0.154, 0.846, 0.750], [0.846, 0.154, 0.250], [0.000, 0.000, 0.000], [0.000, 0.000, 0.500], [0.049, 0.448, 0.750], [0.448, 0.049, 0.250], [0.552, 0.951, 0.750], [0.951, 0.552, 0.250], [0.450, 0.550, 0.750], [0.550, 0.450, 0.250]]}

***

Model Q:
{"formula": "PrHg3Pb", "functional": "PBE", "state": "optimized geometry", "lattice_angstrom": [[8.355, 0.000, 0.000], [0.000, 7.454, 0.000], [0.000, 0.000, 8.799]], "species": ["Pr", "Pr", "Pr", "Pr", "Hg", "Hg", "Hg", "Hg", "Hg", "Hg", "Hg", "Hg", "Hg", "Hg", "Hg", "Hg", "Pb", "Pb", "Pb", "Pb"], "fractional_positions": [[0.135, 0.250, 0.182], [0.365, 0.750, 0.682], [0.635, 0.250, 0.318], [0.865, 0.750, 0.818], [0.149, 0.054, 0.835], [0.149, 0.446, 0.835], [0.166, 0.750, 0.072], [0.334, 0.250, 0.572], [0.351, 0.554, 0.335], [0.351, 0.946, 0.335], [0.649, 0.054, 0.665], [0.649, 0.446, 0.665], [0.666, 0.750, 0.428], [0.834, 0.250, 0.928], [0.851, 0.554, 0.165], [0.851, 0.946, 0.165], [0.000, 0.000, 0.500], [0.000, 0.500, 0.500], [0.500, 0.000, 0.000], [0.500, 0.500, 0.000]]}

***

Which of them is most stable, and which least? Most stable: model Q; least stable: model P.